# Mg5Tl

An optimized crystal structure of Mg5Tl (GGA-PBE, Alexandria).

Values from the calculation:
For the offset from the most stable computed form, the calculation gives 0.1418 eV/atom. The formation energy is 0.123 eV per atom. The symmetry is P6/mmm (191).

Cell: 5.9201 5.9201 5.1690 Å, 90.00 90.00 120.00°
Closest atoms and distances in Å follow each position.
Element x y z (fractional)
Mg 0.5000 0.0000 0.5000  8 Mg 2.96-3.10
Mg 0.3333 0.6667 0.0000  9 Mg 3.10-3.42, 3 Tl 3.42
Mg 0.6667 0.3333 0.0000  9 Mg 3.10-3.42, 3 Tl 3.42
Mg 0.0000 0.5000 0.5000  8 Mg 2.96-3.10
Mg 0.5000 0.5000 0.5000  8 Mg 2.96-3.10
Tl 0.0000 0.0000 0.0000  6 Mg 3.42